Ca2HoCu9 after structural relaxation. Source: Alexandria, functional PBE. Values from VASP.

```
&SYSTEM
  ibrav = 0, nat = 12, ntyp = 3
/
ATOMIC_SPECIES
Ca 40.08 Ca.upf
Ho 164.93 Ho.upf
Cu 63.55 Cu.upf
CELL_PARAMETERS angstrom
2.573 1.486 8.440
-2.573 1.486 8.440
0.000 -2.972 8.440
ATOMIC_POSITIONS crystal
Ca 0.141 0.141 0.141
Ca 0.859 0.859 0.859
Ho 0.000 0.000 0.000
Cu 0.083 0.579 0.579
Cu 0.332 0.332 0.332
Cu 0.421 0.421 0.917
Cu 0.421 0.917 0.421
Cu 0.500 0.500 0.500
Cu 0.579 0.083 0.579
Cu 0.579 0.579 0.083
Cu 0.668 0.668 0.668
Cu 0.917 0.421 0.421
```

Output
Fermi-level density of states = 6.96 states/eV/f.u.
Symmetry = R-3m
Uncorrected energy = -3.9332 eV/atom
M_tot = 0.00 μB/f.u.


K2RbTlBi2 after structural relaxation. Source: Alexandria, functional PBE. Values from VASP.

```
&SYSTEM
  ibrav = 0, nat = 12, ntyp = 4
/
ATOMIC_SPECIES
K 39.10 K.upf
Rb 85.47 Rb.upf
Tl 204.38 Tl.upf
Bi 208.98 Bi.upf
CELL_PARAMETERS angstrom
-4.678 7.445 4.053
4.678 -7.445 4.053
4.678 7.445 -4.053
ATOMIC_POSITIONS crystal
K 0.175 0.169 0.344
K 0.325 0.669 0.994
K 0.675 0.331 0.006
K 0.825 0.831 0.656
Rb 0.250 0.750 0.500
Rb 0.750 0.250 0.500
Tl 0.250 0.250 0.000
Tl 0.750 0.750 0.000
Bi 0.099 0.804 0.903
Bi 0.401 0.304 0.706
Bi 0.599 0.696 0.294
Bi 0.901 0.196 0.097
```

Output
Fermi-level density of states = 3.29 states/eV/f.u.
Symmetry = Ibam
Uncorrected energy = -2.4908 eV/atom
M_tot = 0.00 μB/f.u.


PaSnAu2 after structural relaxation. Source: Alexandria, functional PBE. Values from VASP.

```
&SYSTEM
  ibrav = 0, nat = 4, ntyp = 3
/
ATOMIC_SPECIES
Pa 231.04 Pa.upf
Sn 118.71 Sn.upf
Au 196.97 Au.upf
CELL_PARAMETERS angstrom
3.507 0.000 0.000
0.000 3.507 0.000
0.000 0.000 7.350
ATOMIC_POSITIONS crystal
Pa 0.000 0.000 0.000
Sn 0.000 0.000 0.500
Au 0.500 0.500 0.250
Au 0.500 0.500 0.750
```

Output
Fermi-level density of states = 4.60 states/eV/f.u.
Symmetry = P4/mmm
Uncorrected energy = -5.2735 eV/atom
M_tot = 1.04 μB/f.u.


CrCu2Cl after structural relaxation. Source: Alexandria, functional PBE. Values from VASP.

```
&SYSTEM
  ibrav = 0, nat = 4, ntyp = 3
/
ATOMIC_SPECIES
Cr 52.00 Cr.upf
Cu 63.55 Cu.upf
Cl 35.45 Cl.upf
CELL_PARAMETERS angstrom
3.333 0.000 0.000
0.000 3.360 0.000
0.000 0.000 5.669
ATOMIC_POSITIONS crystal
Cr 0.000 0.000 0.000
Cu 0.500 0.500 0.215
Cu 0.500 0.500 0.785
Cl 0.000 0.000 0.500
```

Output
Fermi-level density of states = 1.30 states/eV/f.u.
Symmetry = Pmmm
E_form (uncorrected) = 0.34 eV per atom
Uncorrected energy = -4.5718 eV/atom
M_tot = 4.59 μB/f.u.


TaTlIO6 after structural relaxation. Source: Alexandria, functional PBE. Values from VASP.

```
&SYSTEM
  ibrav = 0, nat = 9, ntyp = 4
/
ATOMIC_SPECIES
Ta 180.95 Ta.upf
Tl 204.38 Tl.upf
I 126.90 I.upf
O 16.00 O.upf
CELL_PARAMETERS angstrom
2.726 -4.727 0.000
2.726 4.727 0.000
-0.003 0.000 6.252
ATOMIC_POSITIONS crystal
Ta 0.000 0.000 0.000
Tl 0.666 0.334 0.500
I 0.333 0.667 0.000
O 0.070 0.334 0.182
O 0.070 0.738 0.817
O 0.262 0.930 0.183
O 0.265 0.335 0.818
O 0.665 0.735 0.182
O 0.666 0.930 0.818
```

Output
Fermi-level density of states = 3.15 states/eV/f.u.
Symmetry = C2
E_form (uncorrected) = -1.29 eV per atom
Uncorrected energy = -6.3523 eV/atom
M_tot = 0.00 μB/f.u.


Rh2S2F after structural relaxation. Source: Alexandria, functional PBE. Values from VASP.

```
&SYSTEM
  ibrav = 0, nat = 10, ntyp = 3
/
ATOMIC_SPECIES
Rh 102.91 Rh.upf
S 32.06 S.upf
F 19.00 F.upf
CELL_PARAMETERS angstrom
3.413 0.000 0.000
0.000 6.247 0.000
-0.932 0.000 7.025
ATOMIC_POSITIONS crystal
Rh 0.134 0.000 0.358
Rh 0.361 0.521 0.132
Rh 0.639 0.021 0.868
Rh 0.866 0.500 0.642
S 0.184 0.893 0.052
S 0.407 0.743 0.654
S 0.593 0.243 0.346
S 0.816 0.393 0.948
F 0.125 0.148 0.669
F 0.875 0.648 0.331
```

Output
Fermi-level density of states = 2.49 states/eV/f.u.
Symmetry = P2_1
E_form (uncorrected) = -0.61 eV per atom
Uncorrected energy = -5.5756 eV/atom
M_tot = 0.00 μB/f.u.


CsK2HgAu after structural relaxation. Source: Alexandria, functional PBE. Values from VASP.

```
&SYSTEM
  ibrav = 0, nat = 5, ntyp = 4
/
ATOMIC_SPECIES
Cs 132.91 Cs.upf
K 39.10 K.upf
Hg 200.59 Hg.upf
Au 196.97 Au.upf
CELL_PARAMETERS angstrom
6.383 0.000 0.000
0.000 6.383 0.000
0.000 0.000 6.900
ATOMIC_POSITIONS crystal
Cs 0.000 0.000 0.000
K 0.000 0.500 0.500
K 0.500 0.000 0.500
Hg 0.500 0.500 0.000
Au 0.000 0.000 0.500
```

Output
Fermi-level density of states = 5.85 states/eV/f.u.
Symmetry = P4/mmm
Uncorrected energy = -1.4496 eV/atom
M_tot = 0.54 μB/f.u.


Np3SbO2 after structural relaxation. Source: Alexandria, functional PBE. Values from VASP.

```
&SYSTEM
  ibrav = 0, nat = 12, ntyp = 3
/
ATOMIC_SPECIES
Np 237.00 Np.upf
Sb 121.76 Sb.upf
O 16.00 O.upf
CELL_PARAMETERS angstrom
4.450 -5.182 0.000
4.450 5.182 0.000
0.000 0.000 5.553
ATOMIC_POSITIONS crystal
Np 0.112 0.888 0.750
Np 0.183 0.422 0.750
Np 0.422 0.183 0.250
Np 0.578 0.817 0.750
Np 0.817 0.578 0.250
Np 0.888 0.112 0.250
Sb 0.320 0.680 0.250
Sb 0.680 0.320 0.750
O 0.160 0.160 0.000
O 0.160 0.160 0.500
O 0.840 0.840 0.000
O 0.840 0.840 0.500
```

Output
Fermi-level density of states = 15.57 states/eV/f.u.
Symmetry = Cmcm
E_form (uncorrected) = -1.57 eV per atom
Uncorrected energy = -10.3758 eV/atom
M_tot = 13.99 μB/f.u.